# 1
Density functional theory data (PBEsol) for a relaxed structure of K3AlTc.

Computed properties:
- Calculated formation energy: 1.5806 eV per atom
- Total magnetization: 2.3 Bohr magnetons per cell
- DOS(E_F): 8.8 states/eV per cell
- ρ: 1.78 g/cm³

Unit cell a=6.0943 b=6.0943 c=6.0943 alpha=90.00 beta=90.00 gamma=90.00
With the nearest neighbours (Å) after each atom.
Atoms (fractional coordinates):
K  0.0000  0.0000  0.5000  2 Tc 3.05
K  0.0000  0.5000  0.0000  2 Tc 3.05
K  0.5000  0.0000  0.0000  2 Tc 3.05
Al  0.5000  0.5000  0.5000  12 K 4.31
Tc  0.0000  0.0000  0.0000  6 K 3.05



# 2
Density functional theory data (PBEsol) for a relaxed structure of CaAuBr2.

Computed properties:
- Relative energy among the computed polymorphs: 0.0000 eV/atom
- Total magnetization: 0.0 Bohr magnetons per cell
- DOS(E_F): 5.5 states/eV per cell
- ρ: 7.01 g/cm³
- Formation energy from raw total energies: -0.8504 eV/atom

Unit cell a=4.9701 b=4.9701 c=7.6093 alpha=90.00 beta=90.00 gamma=90.00
With the nearest neighbours (Å) after each atom.
Atoms (fractional coordinates):
Ca  0.0000  0.0000  0.0000  8 Br 3.13
Ca  0.5000  0.5000  0.5000  8 Br 3.13
Au  0.0000  0.0000  0.5000  8 Br 3.13
Au  0.5000  0.5000  0.0000  8 Br 3.13
Br  0.0000  0.5000  0.2500  4 Ca 3.13, 4 Au 3.13
Br  0.0000  0.5000  0.7500  4 Ca 3.13, 4 Au 3.13
Br  0.5000  0.0000  0.2500  4 Ca 3.13, 4 Au 3.13
Br  0.5000  0.0000  0.7500  4 Ca 3.13, 4 Au 3.13